# 1
Below is a geometry-optimized MgAgTe2 structure, with properties calculated at the GGA-PBE level. Values from VASP.

The structure in Quantum ESPRESSO input format:
```
&SYSTEM
  ibrav = 0, nat = 16, ntyp = 3
/
ATOMIC_SPECIES
Mg 24.30 Mg.upf
Ag 107.87 Ag.upf
Te 127.60 Te.upf
CELL_PARAMETERS angstrom
7.3952 0.0000 0.0000
0.0000 7.3952 0.0000
0.0000 0.0000 7.3952
ATOMIC_POSITIONS crystal
Mg 0.0000 0.0000 0.0000
Mg 0.0000 0.5000 0.5000
Mg 0.5000 0.0000 0.5000
Mg 0.5000 0.5000 0.0000
Ag 0.2500 0.2500 0.2500
Ag 0.2500 0.7500 0.7500
Ag 0.7500 0.2500 0.7500
Ag 0.7500 0.7500 0.2500
Te 0.0000 0.0000 0.5000
Te 0.0000 0.5000 0.0000
Te 0.2500 0.2500 0.7500
Te 0.2500 0.7500 0.2500
Te 0.5000 0.0000 0.0000
Te 0.5000 0.5000 0.5000
Te 0.7500 0.2500 0.2500
Te 0.7500 0.7500 0.7500
```

**Uncorrected energy**: -2.563 eV per atom
**Energy relative to the elements, uncorrected**: 0.120 eV/atom
**Calculated volume**: 25.277 Å³/atom
**Magnetization**: 0.00 Bohr magnetons per cell

***

# 2
Below is a geometry-optimized Ba2Ga12CuPt3 structure, with properties calculated at the GGA-PBE level. Values from VASP.

The structure in Quantum ESPRESSO input format:
```
&SYSTEM
  ibrav = 0, nat = 18, ntyp = 4
/
ATOMIC_SPECIES
Ba 137.33 Ba.upf
Ga 69.72 Ga.upf
Cu 63.55 Cu.upf
Pt 195.08 Pt.upf
CELL_PARAMETERS angstrom
4.9481 2.8568 5.8527
-4.9481 2.8568 5.8527
0.0000 -5.7135 5.8527
ATOMIC_POSITIONS crystal
Ba 0.1974 0.1974 0.1974
Ba 0.8026 0.8026 0.8026
Ga 0.1842 0.6229 0.6229
Ga 0.2647 0.2647 0.5844
Ga 0.2647 0.5844 0.2647
Ga 0.3771 0.3771 0.8158
Ga 0.3771 0.8158 0.3771
Ga 0.4156 0.7353 0.7353
Ga 0.5844 0.2647 0.2647
Ga 0.6229 0.1842 0.6229
Ga 0.6229 0.6229 0.1842
Ga 0.7353 0.4156 0.7353
Ga 0.7353 0.7353 0.4156
Ga 0.8158 0.3771 0.3771
Cu 0.5000 0.5000 0.5000
Pt 0.0000 0.5000 0.5000
Pt 0.5000 0.0000 0.5000
Pt 0.5000 0.5000 0.0000
```

**Uncorrected energy**: -3.734 eV per atom
**DFT formation energy**: -0.2678 eV per atom
**Calculated volume**: 27.577 Å³/atom
**Magnetization**: 0.00 Bohr magnetons per cell

***

# 3
Below is a geometry-optimized BaSc2Hg structure, with properties calculated at the GGA-PBE level. Values from VASP.

The structure in Quantum ESPRESSO input format:
```
&SYSTEM
  ibrav = 0, nat = 8, ntyp = 3
/
ATOMIC_SPECIES
Ba 137.33 Ba.upf
Sc 44.96 Sc.upf
Hg 200.59 Hg.upf
CELL_PARAMETERS angstrom
7.4265 0.0000 0.0000
0.0000 7.4374 0.0000
0.0000 0.0000 3.9015
ATOMIC_POSITIONS crystal
Ba 0.0000 0.0000 0.0000
Ba 0.5000 0.5000 0.0000
Sc 0.2500 0.2500 0.5000
Sc 0.2500 0.7500 0.5000
Sc 0.7500 0.2500 0.5000
Sc 0.7500 0.7500 0.5000
Hg 0.0000 0.5000 0.0000
Hg 0.5000 0.0000 0.0000
```

**Uncorrected energy**: -3.501 eV per atom
**DFT formation energy**: 0.2208 eV per atom
**Calculated volume**: 26.937 Å³/atom
**Magnetization**: 0.01 Bohr magnetons per cell

***

# 4
Below is a geometry-optimized KAuCl2 structure, with properties calculated at the GGA-PBE level. Values from VASP.

The structure in Quantum ESPRESSO input format:
```
&SYSTEM
  ibrav = 0, nat = 4, ntyp = 3
/
ATOMIC_SPECIES
K 39.10 K.upf
Au 196.97 Au.upf
Cl 35.45 Cl.upf
CELL_PARAMETERS angstrom
4.1854 0.0000 0.0000
0.0000 4.1854 0.0000
0.0000 0.0000 6.3072
ATOMIC_POSITIONS crystal
K 0.0000 0.0000 0.0000
Au 0.5000 0.5000 0.5463
Cl 0.0000 0.0000 0.4895
Cl 0.5000 0.5000 0.9495
```

**Uncorrected energy**: -2.844 eV per atom
**Energy relative to the elements, uncorrected**: -0.827 eV/atom
**Offset from the most stable computed form**: 1.13 eV/f.u.
**Calculated volume**: 27.622 Å³/atom
**Magnetization**: 0.00 Bohr magnetons per cell